## IrOs2 (PBE)

Data for a geometry-optimized IrOs2 structure.

CIF file:
```
data_IrOs2
_chemical_formula_sum 'Ir2 Os4'
_space_group_name_H-M_alt 'P 1'
_space_group_IT_number 1
_space_group_name_Hall 'P 1'
_cell_length_a 4.342
_cell_length_b 4.342
_cell_length_c 5.417
_cell_angle_alpha 90.00
_cell_angle_beta 90.00
_cell_angle_gamma 120.00
loop_
_atom_site_label
_atom_site_type_symbol
_atom_site_fract_x
_atom_site_fract_y
_atom_site_fract_z
_atom_site_occupancy
Os1 Os 0.333 0.667 0.750 1
Os2 Os 0.000 0.000 0.000 1
Os3 Os 0.000 0.000 0.500 1
Os4 Os 0.667 0.333 0.250 1
Ir1 Ir 0.333 0.667 0.250 1
Ir2 Ir 0.667 0.333 0.750 1
```

Summary:
crystal system = hexagonal
magnetization = 0.000 μB/atom
Fermi-level density of states = 2.94 states/eV/f.u.
formation enthalpy at 0 K = 355 meV per atom
energy relative to the lowest polymorph listed for this composition = 357 meV/atom